Here is an optimized crystal structure of Ac7Nd2Y2 from the Alexandria database. Energies are from PBE.

```
Ac7Nd2Y2
1.0
-2.510 1.816 -5.950
-3.088 -7.758 -1.705
-8.006 0.473 2.881
Y Ac Nd
2 7 2
Direct
0.500 0.826 0.174
0.500 0.174 0.826
0.259 0.448 0.448
0.000 0.000 0.000
0.755 0.094 0.438
0.755 0.438 0.094
0.245 0.562 0.906
0.741 0.552 0.552
0.245 0.906 0.562
0.297 0.201 0.201
0.703 0.799 0.799
```

Results
The total DFT energy (no corrections) is -4.410 eV/atom. The calculated formation energy comes out at 0.25 eV/atom. The volume comes out at 43.0 A^3/atom. The relative energy among the computed polymorphs is 1.62 eV per formula unit.